# 1
Density functional theory data (PBE) for a geometry-optimized ScTl2Ag structure.

Lattice parameters (Å, degrees): 6.4510 6.4510 6.4510 103.88 103.88 121.35
Fractional coordinates of all 8 atoms:
Sc (0.0000, 0.0000, 0.0000)
Sc (0.7500, 0.2500, 0.5000)
Tl (0.1407, 0.6250, 0.0157)
Tl (0.3750, 0.3907, 0.5157)
Tl (0.6093, 0.1250, 0.9843)
Tl (0.8750, 0.8593, 0.4843)
Ag (0.2500, 0.7500, 0.5000)
Ag (0.5000, 0.5000, 0.0000)

Values from the calculation:
Formation energy from the elements, eV/atom: 0.0723
Crystal system: tetragonal


# 2
Density functional theory data (PBE) for a geometry-optimized Dy3Mg2Hg6 structure.

Lattice parameters (Å, degrees): 12.9896 12.9896 12.9896 157.56 157.56 31.95
Fractional coordinates of all 11 atoms:
Dy (0.0000, 0.0000, 0.0000)
Dy (0.1443, 0.1443, 0.0000)
Dy (0.8557, 0.8557, 0.0000)
Mg (0.3796, 0.3796, 0.0000)
Mg (0.6204, 0.6204, 0.0000)
Hg (0.0698, 0.5698, 0.5000)
Hg (0.2665, 0.2665, 0.0000)
Hg (0.4302, 0.9302, 0.5000)
Hg (0.5698, 0.0698, 0.5000)
Hg (0.7335, 0.7335, 0.0000)
Hg (0.9302, 0.4302, 0.5000)

Values from the calculation:
Formation energy from the elements, eV/atom: -0.1280
Crystal system: tetragonal


# 3
Density functional theory data (PBE) for a geometry-optimized PmPrDy2Y6 structure.

Lattice parameters (Å, degrees): 8.8172 8.8172 9.7059 94.32 94.32 117.18
Fractional coordinates of all 20 atoms:
Pm (0.0253, 0.9747, 0.7500)
Pm (0.9747, 0.0253, 0.2500)
Pr (0.4069, 0.5931, 0.2500)
Pr (0.5931, 0.4069, 0.7500)
Dy (0.1932, 0.2937, 0.5470)
Dy (0.2937, 0.1932, 0.0470)
Dy (0.7063, 0.8068, 0.9530)
Dy (0.8068, 0.7063, 0.4530)
Y (0.0220, 0.5704, 0.6808)
Y (0.1176, 0.7505, 0.0568)
Y (0.2495, 0.8824, 0.4432)
Y (0.2953, 0.5095, 0.8822)
Y (0.4296, 0.9780, 0.8192)
Y (0.4905, 0.7047, 0.6178)
Y (0.5095, 0.2953, 0.3822)
Y (0.5704, 0.0220, 0.1808)
Y (0.7047, 0.4905, 0.1178)
Y (0.7505, 0.1176, 0.5568)
Y (0.8824, 0.2495, 0.9432)
Y (0.9780, 0.4296, 0.3192)

Values from the calculation:
Formation energy from the elements, eV/atom: 0.1202
Crystal system: monoclinic


# 4
Density functional theory data (PBE) for a geometry-optimized PmSm4Mg7 structure.

Lattice parameters (Å, degrees): 6.5094 6.5094 11.6149 112.61 112.61 52.28
Fractional coordinates of all 12 atoms:
Pm (0.0000, 0.0000, 0.0000)
Sm (0.1646, 0.1646, 0.7781)
Sm (0.4295, 0.4295, 0.6713)
Sm (0.5705, 0.5705, 0.3287)
Sm (0.8354, 0.8354, 0.2219)
Mg (0.1245, 0.1245, 0.4931)
Mg (0.2517, 0.2517, 0.3210)
Mg (0.2992, 0.2992, 0.0775)
Mg (0.5000, 0.5000, 0.0000)
Mg (0.7008, 0.7008, 0.9225)
Mg (0.7483, 0.7483, 0.6790)
Mg (0.8755, 0.8755, 0.5069)

Values from the calculation:
Formation energy from the elements, eV/atom: 0.1231
Crystal system: monoclinic


# 5
Density functional theory data (PBE) for a geometry-optimized MgTc2Os2 structure.

Lattice parameters (Å, degrees): 7.6354 7.6354 2.7518 90.00 90.00 90.00
Fractional coordinates of all 10 atoms:
Mg (0.0000, 0.0000, 0.0000)
Mg (0.5000, 0.5000, 0.0000)
Tc (0.1224, 0.3776, 0.0000)
Tc (0.3776, 0.8776, 0.0000)
Tc (0.6224, 0.1224, 0.0000)
Tc (0.8776, 0.6224, 0.0000)
Os (0.1674, 0.6674, 0.5000)
Os (0.3326, 0.1674, 0.5000)
Os (0.6674, 0.8326, 0.5000)
Os (0.8326, 0.3326, 0.5000)

Values from the calculation:
Formation energy from the elements, eV/atom: 0.1740
Energy above the most stable polymorph in this dataset, meV per atom: 32.8
Crystal system: tetragonal


# 6
Density functional theory data (PBE) for a geometry-optimized Nd2Tl5I12 structure.

Lattice parameters (Å, degrees): 10.6068 10.6068 11.1678 107.88 107.88 50.66
Fractional coordinates of all 19 atoms:
Nd (0.2464, 0.7536, 0.0000)
Nd (0.7536, 0.2464, 0.0000)
Tl (0.1831, 0.1831, 0.8192)
Tl (0.2228, 0.2228, 0.3720)
Tl (0.5000, 0.5000, 0.5000)
Tl (0.7772, 0.7772, 0.6280)
Tl (0.8169, 0.8169, 0.1808)
I (0.0077, 0.0077, 0.2052)
I (0.0647, 0.5950, 0.9085)
I (0.1234, 0.6163, 0.4400)
I (0.3837, 0.8766, 0.5600)
I (0.4050, 0.9353, 0.0915)
I (0.4981, 0.4981, 0.8069)
I (0.5019, 0.5019, 0.1931)
I (0.5950, 0.0647, 0.9085)
I (0.6163, 0.1234, 0.4400)
I (0.8766, 0.3837, 0.5600)
I (0.9353, 0.4050, 0.0915)
I (0.9923, 0.9923, 0.7948)

Values from the calculation:
ΔE_f (raw), eV per atom: -0.892
Crystal system: monoclinic


# 7
Density functional theory data (PBE) for a geometry-optimized Ac2TiCr2N6 structure.

Lattice parameters (Å, degrees): 6.3480 6.3480 6.3480 54.21 54.21 54.21
Fractional coordinates of all 11 atoms:
Ac (0.2316, 0.2316, 0.2316)
Ac (0.7684, 0.7684, 0.7684)
Ti (0.0000, 0.0000, 0.0000)
Cr (0.4317, 0.4317, 0.4317)
Cr (0.5683, 0.5683, 0.5683)
N (0.2402, 0.2402, 0.7468)
N (0.2402, 0.7468, 0.2402)
N (0.2532, 0.7598, 0.7598)
N (0.7468, 0.2402, 0.2402)
N (0.7598, 0.2532, 0.7598)
N (0.7598, 0.7598, 0.2532)

Values from the calculation:
ΔE_f (raw), eV per atom: -0.956
Crystal system: trigonal


# 8
Density functional theory data (PBE) for a geometry-optimized LiYbPb structure.

Lattice parameters (Å, degrees): 4.9528 4.9528 10.8256 90.00 90.00 120.00
Fractional coordinates of all 9 atoms:
Li (0.0000, 0.0000, 0.0000)
Li (0.6667, 0.3333, 0.3051)
Li (0.6667, 0.3333, 0.6949)
Yb (0.3333, 0.6667, 0.1666)
Yb (0.3333, 0.6667, 0.5000)
Yb (0.3333, 0.6667, 0.8334)
Pb (0.0000, 0.0000, 0.3433)
Pb (0.0000, 0.0000, 0.6567)
Pb (0.6667, 0.3333, 0.0000)

Values from the calculation:
Formation energy from the elements, eV/atom: -0.4754
Crystal system: hexagonal


# 9
Density functional theory data (PBE) for a geometry-optimized Ba2CaSb structure.

Lattice parameters (Å, degrees): 7.7344 7.7344 7.7344 146.61 134.61 57.51
Fractional coordinates of all 4 atoms:
Ba (0.0000, 0.0000, 0.0000)
Ba (0.6870, 0.1870, 0.5000)
Ca (0.3099, 0.8099, 0.5000)
Sb (0.4777, 0.4777, 0.0000)

Values from the calculation:
ΔE_f (raw), eV per atom: -0.549
Crystal system: orthorhombic


# 10
Density functional theory data (PBE) for a geometry-optimized NaInRe2O8 structure.

Lattice parameters (Å, degrees): 5.7833 5.7833 7.9932 90.89 90.89 65.97
Fractional coordinates of all 12 atoms:
Na (0.0000, 0.0000, 0.0000)
In (0.0000, 0.0000, 0.5000)
Re (0.3617, 0.3617, 0.2335)
Re (0.6383, 0.6383, 0.7665)
O (0.2341, 0.6945, 0.2170)
O (0.2346, 0.2346, 0.0763)
O (0.2841, 0.2841, 0.4298)
O (0.3055, 0.7659, 0.7830)
O (0.6945, 0.2341, 0.2170)
O (0.7159, 0.7159, 0.5702)
O (0.7654, 0.7654, 0.9237)
O (0.7659, 0.3055, 0.7830)

Values from the calculation:
ΔE_f (raw), eV per atom: -1.643
Crystal system: monoclinic


# 11
Density functional theory data (PBE) for a geometry-optimized Ta2W structure.

Lattice parameters (Å, degrees): 7.2374 7.0451 2.8497 82.31 74.72 22.97
Fractional coordinates of all 3 atoms:
Ta (0.1636, 0.1636, 0.8364)
Ta (0.8364, 0.8364, 0.1636)
W (0.5000, 0.5000, 0.5000)

Values from the calculation:
Formation energy from the elements, eV/atom: -0.0410
Energy above the most stable polymorph in this dataset, meV per atom: 38.0
Crystal system: orthorhombic


# 12
Density functional theory data (PBE) for a geometry-optimized CaErAsS structure.

Lattice parameters (Å, degrees): 7.0941 7.0941 7.0941 33.38 33.38 33.38
Fractional coordinates of all 4 atoms:
Ca (0.0000, 0.0000, 0.0000)
Er (0.5017, 0.5017, 0.5017)
As (0.2458, 0.2458, 0.2458)
S (0.7541, 0.7541, 0.7541)

Values from the calculation:
ΔE_f (raw), eV per atom: -1.752
Crystal system: trigonal


no.,E (eV per cell)
1,-27.3
2,-20.2
3,-112.6
4,-33.3
5,-87.8
6,-56.9
7,-95.8
8,-25.7
9,-12.2
10,-88.3
11,-36.8
12,-22.4